VASP calculation (PBE+U) on a relaxed Li2Mn2P2O9 crystal.

Cell lengths 8.5001, 5.5812, 15.7759 Å; angles 90.00, 90.00, 90.00 degrees
Space group Pnma (No. 62)
Asymmetric unit:
1 Li 0.0857 0.2500 0.2168 x4
2 Li 0.1845 0.2500 0.8557 x4
3 Mn 0.0000 0.0000 0.5000 x4
4 Mn 0.1981 0.2500 0.0514 x4
5 P 0.1651 0.7500 0.9204 x4
6 P 0.2154 0.2500 0.6550 x4
7 O 0.0155 0.7500 0.9773 x4
8 O 0.0766 0.2500 0.5836 x4
9 O 0.0786 0.7500 0.5669 x4
10 O 0.1315 0.7500 0.8263 x4
11 O 0.1404 0.2500 0.7411 x4
12 O 0.1837 0.5199 0.1391 x8
13 O 0.2403 0.0147 0.4454 x8

Summary:
* V: 748 Å³/cell
* raw total energy: -6.963 eV/atom
* crystal system: orthorhombic